Entry 1:
A relaxed Tm2Al7Ag12 crystal, computed with PBE-GGA.

Results
* E: -0.2530 Ry per atom
* total magnetization: 0.00 μB per cell
* DFT formation energy: -0.1395 eV per atom

Geometry as CIF:
```
data_Tm2Al7Ag12
_cell_length_a 3.164
_cell_length_b 11.806
_cell_length_c 11.806
_cell_angle_alpha 120.00
_cell_angle_beta 90.00
_cell_angle_gamma 90.00
_symmetry_space_group_name_H-M 'P 1'
_symmetry_Int_Tables_number 1
_symmetry_space_group_name_Hall 'P 1'
loop_
_atom_site_label
_atom_site_fract_x
_atom_site_fract_y
_atom_site_fract_z
Ag1 0.244 0.755 0.834
Ag2 0.244 0.080 0.245
Tm1 0.246 0.333 0.667
Al1 0.745 0.580 0.868
Ag3 0.250 0.919 0.539
Ag4 0.750 0.539 0.620
Al2 0.745 0.132 0.712
Al3 0.255 0.868 0.288
Ag5 0.750 0.081 0.461
Ag6 0.756 0.245 0.166
Ag7 0.244 0.166 0.920
Al4 0.255 0.712 0.580
Ag8 0.756 0.920 0.755
Al5 0.745 0.288 0.420
Tm2 0.754 0.667 0.333
Al6 0.255 0.420 0.132
Ag9 0.750 0.380 0.919
Al7 0.500 0.000 0.000
Ag10 0.250 0.620 0.081
Ag11 0.756 0.834 0.080
Ag12 0.250 0.461 0.380
```



Entry 2:
A relaxed AcBiTe2 crystal, computed with PBE-GGA.

Results
* E: -0.3242 Ry per atom
* total magnetization: 0.00 μB per cell
* ΔE to the lowest computed polymorph: 0.000 eV per atom

Geometry as CIF:
```
data_AcBiTe2
_cell_length_a 4.295
_cell_length_b 5.479
_cell_length_c 5.479
_cell_angle_alpha 90.00
_cell_angle_beta 90.00
_cell_angle_gamma 90.00
_symmetry_space_group_name_H-M 'P 1'
_symmetry_Int_Tables_number 1
_symmetry_space_group_name_Hall 'P 1'
loop_
_atom_site_label
_atom_site_fract_x
_atom_site_fract_y
_atom_site_fract_z
Te1 0.000 0.500 0.000
Bi1 0.500 0.500 0.500
Te2 0.000 0.000 0.500
Ac1 0.500 0.000 0.000
```